DFT (GGA-PBE) results for a geometry-optimized Hg2Sb2Pb15 structure.

Output
As for the uncorrected formation energy: 0.150 eV per atom. The space group is R-3m, No. 166. The uncorrected energy is -3.24 eV per atom.

Lattice parameters (Å, degrees): 9.017 9.017 9.017 71.32 71.32 71.32
Element x y z (fractional)
Hg  0.904  0.904  0.904
Hg  0.096  0.096  0.096
Sb  0.626  0.626  0.626
Sb  0.374  0.374  0.374
Pb  0.000  0.500  0.000
Pb  0.000  0.000  0.500
Pb  0.500  0.000  0.000
Pb  0.300  0.000  0.700
Pb  0.700  0.300  0.000
Pb  0.000  0.700  0.300
Pb  0.300  0.700  0.000
Pb  0.000  0.300  0.700
Pb  0.700  0.000  0.300
Pb  0.399  0.841  0.399
Pb  0.399  0.399  0.841
Pb  0.841  0.399  0.399
Pb  0.601  0.159  0.601
Pb  0.601  0.601  0.159
Pb  0.159  0.601  0.601

---

DFT (GGA-PBE) results for a geometry-optimized Hg4SbPb3 structure.

Output
As for the uncorrected formation energy: 0.024 eV per atom. The space group is C2/m, No. 12. The uncorrected energy is -2.03 eV per atom.

Lattice parameters (Å, degrees): 4.312 5.191 13.331 128.31 99.31 90.00
Element x y z (fractional)
Pb  0.000  0.500  0.000
Pb  0.877  0.602  0.754
Pb  0.123  0.398  0.246
Sb  0.500  0.000  0.000
Hg  0.752  0.756  0.504
Hg  0.248  0.244  0.496
Hg  0.369  0.077  0.738
Hg  0.631  0.923  0.262

---

DFT (GGA-PBE) results for a geometry-optimized Hg2SbPb structure.

Output
As for the uncorrected formation energy: 0.122 eV per atom. The space group is R-3m, No. 166. The uncorrected energy is -1.99 eV per atom.

Lattice parameters (Å, degrees): 10.988 10.988 10.988 18.04 18.04 18.04
Element x y z (fractional)
Hg  0.002  0.002  0.002
Hg  0.498  0.498  0.498
Pb  0.250  0.250  0.250
Sb  0.750  0.750  0.750